Entry 1:
This record from Alexandria via LeMat-Bulk describes crystalline TcSOF2 at its relaxed geometry. The functional is PBE.

Geometry as CIF:
```
data_TcSOF2
_chemical_formula_sum 'Tc1 S1 O1 F2'
_symmetry_space_group_name_H-M 'P 4/m m m'
_symmetry_Int_Tables_number 123
_symmetry_space_group_name_Hall '-P 4 2'
_cell_length_a 4.7094
_cell_length_b 4.7094
_cell_length_c 3.3955
_cell_angle_alpha 90.00
_cell_angle_beta 90.00
_cell_angle_gamma 90.00
loop_
_atom_site_label
_atom_site_fract_x
_atom_site_fract_y
_atom_site_fract_z
Tc1 0.0000 0.0000 0.0000
S1 0.5000 0.5000 0.5000
O1 0.5000 0.5000 0.0000
F1 0.0000 0.5000 0.5000
```

For the raw total energy, the calculation gives -4.563 eV per atom. For the energy relative to the elements, uncorrected, the calculation gives 0.076 eV per atom. For the density of states at the Fermi level, the calculation gives 2.055 states/eV per cell.

Entry 2:
This record from Alexandria via LeMat-Bulk describes crystalline TcSO6F at its relaxed geometry. The functional is PBE.

Geometry as CIF:
```
data_TcSO6F
_chemical_formula_sum 'Tc4 S4 O24 F4'
_symmetry_space_group_name_H-M 'P 1 21/c 1'
_symmetry_Int_Tables_number 14
_symmetry_space_group_name_Hall '-P 2ybc'
_cell_length_a 7.3783
_cell_length_b 8.6052
_cell_length_c 9.3209
_cell_angle_alpha 90.00
_cell_angle_beta 95.43
_cell_angle_gamma 90.00
loop_
_atom_site_label
_atom_site_fract_x
_atom_site_fract_y
_atom_site_fract_z
Tc1 0.2503 0.1508 0.1522
S1 0.4200 0.7150 0.5875
O1 0.0924 0.0979 0.2649
O2 0.1618 0.0921 0.9847
O3 0.2420 0.1514 0.6461
O4 0.3810 0.5886 0.6844
O5 0.4621 0.1655 0.3427
O6 0.4665 0.6684 0.4456
F1 0.2327 0.6990 0.0538
```

For the raw total energy, the calculation gives -6.416 eV per atom. For the energy relative to the elements, uncorrected, the calculation gives -1.293 eV per atom. For the density of states at the Fermi level, the calculation gives 0.000 states/eV per cell.

Entry 3:
This record from Alexandria via LeMat-Bulk describes crystalline TeSOF2 at its relaxed geometry. The functional is PBE.

Geometry as CIF:
```
data_TeSOF2
_chemical_formula_sum 'Te1 S1 O1 F2'
_symmetry_space_group_name_H-M 'P 4/m m m'
_symmetry_Int_Tables_number 123
_symmetry_space_group_name_Hall '-P 4 2'
_cell_length_a 4.8986
_cell_length_b 4.8986
_cell_length_c 3.3364
_cell_angle_alpha 90.00
_cell_angle_beta 90.00
_cell_angle_gamma 90.00
loop_
_atom_site_label
_atom_site_fract_x
_atom_site_fract_y
_atom_site_fract_z
Te1 0.0000 0.0000 0.0000
S1 0.5000 0.5000 0.5000
O1 0.5000 0.5000 0.0000
F1 0.0000 0.5000 0.5000
```

For the raw total energy, the calculation gives -3.417 eV per atom. For the energy relative to the elements, uncorrected, the calculation gives -0.223 eV per atom. For the density of states at the Fermi level, the calculation gives 4.140 states/eV per cell.

Entry 4:
This record from Alexandria via LeMat-Bulk describes crystalline Te2SOF at its relaxed geometry. The functional is PBE.

Geometry as CIF:
```
data_Te2SOF
_chemical_formula_sum 'Te2 S1 O1 F1'
_symmetry_space_group_name_H-M 'P 4/m m m'
_symmetry_Int_Tables_number 123
_symmetry_space_group_name_Hall '-P 4 2'
_cell_length_a 5.4274
_cell_length_b 5.4274
_cell_length_c 3.3821
_cell_angle_alpha 90.00
_cell_angle_beta 90.00
_cell_angle_gamma 90.00
loop_
_atom_site_label
_atom_site_fract_x
_atom_site_fract_y
_atom_site_fract_z
Te1 0.0000 0.5000 0.0000
S1 0.0000 0.0000 0.0000
O1 0.0000 0.0000 0.5000
F1 0.5000 0.5000 0.5000
```

For the raw total energy, the calculation gives -3.439 eV per atom. For the energy relative to the elements, uncorrected, the calculation gives 0.009 eV per atom. For the density of states at the Fermi level, the calculation gives 2.987 states/eV per cell.

Entry 5:
This record from Alexandria via LeMat-Bulk describes crystalline TeSOF2 at its relaxed geometry. The functional is PBE.

Geometry as CIF:
```
data_TeSOF2
_chemical_formula_sum 'Te1 S1 O1 F2'
_symmetry_space_group_name_H-M 'P 4/m m m'
_symmetry_Int_Tables_number 123
_symmetry_space_group_name_Hall '-P 4 2'
_cell_length_a 4.4923
_cell_length_b 4.4923
_cell_length_c 4.1194
_cell_angle_alpha 90.00
_cell_angle_beta 90.00
_cell_angle_gamma 90.00
loop_
_atom_site_label
_atom_site_fract_x
_atom_site_fract_y
_atom_site_fract_z
Te1 0.0000 0.0000 0.0000
S1 0.5000 0.5000 0.5000
O1 0.0000 0.0000 0.5000
F1 0.0000 0.5000 0.0000
```

For the raw total energy, the calculation gives -3.727 eV per atom. For the energy relative to the elements, uncorrected, the calculation gives -0.533 eV per atom. For the density of states at the Fermi level, the calculation gives 1.535 states/eV per cell.

Entry 6:
This record from Alexandria via LeMat-Bulk describes crystalline TiS2O8F at its relaxed geometry. The functional is PBE.

Geometry as CIF:
```
data_TiS2O8F
_chemical_formula_sum 'Ti2 S4 O16 F2'
_symmetry_space_group_name_H-M 'C 1 2/m 1'
_symmetry_Int_Tables_number 12
_symmetry_space_group_name_Hall '-C 2y'
_cell_length_a 8.6492
_cell_length_b 5.2044
_cell_length_c 7.0783
_cell_angle_alpha 90.00
_cell_angle_beta 94.36
_cell_angle_gamma 90.00
loop_
_atom_site_label
_atom_site_fract_x
_atom_site_fract_y
_atom_site_fract_z
Ti1 0.0000 0.0000 0.0000
S1 0.1410 0.5000 0.7647
O1 0.0476 0.2697 0.8185
O2 0.1746 0.5000 0.5721
O3 0.2152 0.0000 0.0981
F1 0.0000 0.0000 0.5000
```

For the raw total energy, the calculation gives -6.291 eV per atom. For the energy relative to the elements, uncorrected, the calculation gives -1.484 eV per atom. For the density of states at the Fermi level, the calculation gives 3.714 states/eV per cell.

Copy entry 1 word for word.
This record from Alexandria via LeMat-Bulk describes crystalline TcSOF2 at its relaxed geometry. The functional is PBE.

Geometry as CIF:
```
data_TcSOF2
_chemical_formula_sum 'Tc1 S1 O1 F2'
_symmetry_space_group_name_H-M 'P 4/m m m'
_symmetry_Int_Tables_number 123
_symmetry_space_group_name_Hall '-P 4 2'
_cell_length_a 4.7094
_cell_length_b 4.7094
_cell_length_c 3.3955
_cell_angle_alpha 90.00
_cell_angle_beta 90.00
_cell_angle_gamma 90.00
loop_
_atom_site_label
_atom_site_fract_x
_atom_site_fract_y
_atom_site_fract_z
Tc1 0.0000 0.0000 0.0000
S1 0.5000 0.5000 0.5000
O1 0.5000 0.5000 0.0000
F1 0.0000 0.5000 0.5000
```

For the raw total energy, the calculation gives -4.563 eV per atom. For the energy relative to the elements, uncorrected, the calculation gives 0.076 eV per atom. For the density of states at the Fermi level, the calculation gives 2.055 states/eV per cell.

Question: What is the formula in the fourth record?
Answer: Te2SOF

Question: Among the records above, which one has the lowest energy relative to the elements, uncorrected?
Answer: TiS2O8F